1.
! CoCN | the Alexandria database | PBE | optimized geometry; values from VASP
! - D(E_F): 1.18 states/eV per cell
! - Total moment: 0.00 μB/f.u.
! - Formation energy from raw total energies: 371.0 meV per atom
&SYSTEM
  ibrav = 0, nat = 3, ntyp = 3
/
ATOMIC_SPECIES
Co 58.93 Co.upf
N 14.01 N.upf
C 12.01 C.upf
ATOMIC_POSITIONS crystal
Co 0.0050 0.9975 0.9683
N 0.1228 0.4386 0.6454
C 0.8902 0.5549 0.2953
CELL_PARAMETERS angstrom
-2.3871 1.2555 -0.7661
-0.7883 -0.0177 -2.6856
-0.4688 -3.9267 0.1635

2.
! Ho2ZnCo3 | the Alexandria database | PBE | optimized geometry; values from VASP
! - D(E_F): 8.57 states/eV per cell
! - ΔE_f: -0.214 eV per atom
! - Total moment: 1.90 μB/f.u.
&SYSTEM
  ibrav = 0, nat = 6, ntyp = 3
/
ATOMIC_SPECIES
Ho 164.93 Ho.upf
Co 58.93 Co.upf
Zn 65.41 Zn.upf
ATOMIC_POSITIONS crystal
Ho 0.2461 0.6232 0.8693
Ho 0.7539 0.3768 0.1307
Co 0.5000 0.5000 0.5000
Co 0.5000 0.0000 0.5000
Co 0.0000 0.0000 0.5000
Zn 0.0000 0.0000 0.0000
CELL_PARAMETERS angstrom
4.5631 -0.1411 -2.4048
-2.9012 4.2619 -0.2119
-0.2432 0.0950 5.0760